5
Lattice="4.966 0.000 0.000 0.000 4.966 0.000 0.000 0.000 4.778" Properties=species:S:1:pos:R:3 comment="GGA-PBE SrPSeS2, optimized geometry" de_polymorph_mev_per_atom=0 crystal_system=tetragonal energy_ev_per_cell=-19.933 magnetic_moment_mub_per_atom=0.00 pbc="T T T"
Sr 0.000 0.000 0.000
P 2.483 2.483 0.000
Se 2.483 2.483 2.389
S 0.000 2.483 2.389
S 2.483 0.000 2.389



14
Lattice="-4.519 4.550 6.178 4.519 -4.550 6.178 4.519 4.550 -6.178" Properties=species:S:1:pos:R:3 comment="GGA-PBE CsDyUSe4, optimized geometry" crystal_system=orthorhombic energy_ev_per_cell=-80.454 magnetic_moment_mub_per_atom=0.29 pbc="T T T"
Cs 0.000 2.275 1.558
Cs 4.519 2.275 4.620
Dy 4.519 0.000 0.000
Dy 0.000 0.000 6.178
U 2.260 2.275 -3.089
U 2.260 -2.275 3.089
Se 4.519 -0.489 2.881
Se 4.519 4.061 -2.881
Se 2.702 2.275 -0.271
Se 6.336 2.275 -0.271
Se -1.817 2.275 6.449
Se 1.817 2.275 6.449
Se 0.000 0.489 9.059
Se 0.000 5.039 3.298



18
Lattice="10.095 0.000 0.000 0.000 10.095 0.000 0.000 0.000 7.556" Properties=species:S:1:pos:R:3 comment="GGA-PBE Cs4GeSe4, optimized geometry" crystal_system=tetragonal energy_ev_per_cell=-62.453 magnetic_moment_mub_per_atom=0.00 pbc="T T T"
Cs 0.249 2.524 0.663
Cs 2.524 0.249 4.441
Cs 2.524 4.799 4.441
Cs 4.799 2.524 0.663
Cs 5.297 7.572 6.893
Cs 7.572 5.297 3.115
Cs 7.572 9.846 3.115
Cs 9.846 7.572 6.893
Ge 2.524 7.572 1.889
Ge 7.572 2.524 5.667
Se 0.514 7.572 3.216
Se 2.524 5.562 0.562
Se 2.524 9.581 0.562
Se 4.534 7.572 3.216
Se 5.562 2.524 4.340
Se 7.572 0.514 6.995
Se 7.572 4.534 6.995
Se 9.581 2.524 4.340



80
Lattice="-6.414 6.414 6.414 6.414 -6.414 6.414 6.414 6.414 -6.414" Properties=species:S:1:pos:R:3 comment="GGA-PBE Gd3Re5N12, optimized geometry" crystal_system=cubic energy_ev_per_cell=-859.244 magnetic_moment_mub_per_atom=1.03 pbc="T T T"
Gd 3.207 1.604 0.000
Gd 6.414 3.207 -1.604
Gd 1.604 0.000 3.207
Gd 8.018 0.000 3.207
Gd 0.000 3.207 1.604
Gd 3.207 -1.604 6.414
Gd 3.207 8.018 0.000
Gd 6.414 3.207 4.811
Gd -1.604 6.414 3.207
Gd 4.811 6.414 3.207
Gd 0.000 3.207 8.018
Gd 3.207 4.811 6.414
Re 0.000 0.000 0.000
Re 3.207 3.207 -3.207
Re 3.207 -3.207 3.207
Re 6.414 0.000 0.000
Re 9.622 1.604 0.000
Re 6.414 -3.207 4.811
Re 4.811 6.414 -3.207
Re 4.811 0.000 3.207
Re 3.207 4.811 0.000
Re 6.414 3.207 1.604
Re -3.207 3.207 3.207
Re 0.000 6.414 0.000
Re 0.000 0.000 6.414
Re 3.207 3.207 3.207
Re 0.000 3.207 4.811
Re 3.207 1.604 6.414
Re 1.604 6.414 3.207
Re 1.604 0.000 9.622
Re 0.000 9.622 1.604
Re -3.207 4.811 6.414
N 1.903 -0.426 0.596
N 7.719 3.803 -3.633
N 8.318 0.426 0.596
N 7.719 -2.611 3.633
N 5.989 -0.596 1.903
N 10.048 -1.304 2.611
N 0.596 1.903 -0.426
N 9.026 2.781 -1.304
N 3.803 3.633 -1.304
N 5.818 1.903 0.426
N -0.426 0.596 1.903
N 3.633 -1.304 3.803
N 5.989 5.818 -1.903
N 3.633 1.304 2.611
N 3.803 -3.633 7.719
N 5.818 -1.903 5.989
N 2.611 3.633 1.304
N 7.011 4.511 0.426
N 3.633 7.719 -2.611
N 5.989 0.596 4.511
N 1.903 5.989 -0.596
N 7.719 2.611 2.781
N 1.304 2.611 3.633
N 1.903 0.426 5.818
N 4.511 5.989 0.596
N 5.110 3.803 2.781
N -1.304 3.803 3.633
N 4.511 0.426 7.011
N 0.426 5.818 1.903
N 2.781 -1.304 9.026
N -0.596 1.903 5.989
N 3.803 2.781 5.110
N 0.596 8.318 0.426
N 2.611 10.048 -1.304
N 2.781 5.110 3.803
N 0.426 0.596 8.318
N 2.781 7.719 2.611
N 6.840 5.818 4.511
N 0.596 4.511 5.989
N 2.611 2.781 7.719
N -2.611 3.633 7.719
N 5.818 4.511 6.840
N -3.633 7.719 3.803
N 0.426 7.011 4.511
N -1.304 9.026 2.781
N -1.903 5.989 5.818
N -1.304 2.611 10.048
N 4.511 6.840 5.818



4
Lattice="0.000 3.795 3.795 3.795 0.000 3.795 3.795 3.795 0.000" Properties=species:S:1:pos:R:3 comment="GGA-PBE AcGdInNi, optimized geometry" e_form_mev_per_atom=-188 crystal_system=cubic energy_ev_per_cell=-27.461 magnetic_moment_mub_per_atom=1.78 pbc="T T T"
Ac 0.000 0.000 0.000
Gd 3.795 3.795 3.795
In 1.897 1.897 1.897
Ni 5.692 5.692 5.692



3
Lattice="3.590 0.000 0.000 -1.795 3.109 0.000 0.000 0.000 5.725" Properties=species:S:1:pos:R:3 comment="GGA-PBE TaTeRh, optimized geometry" crystal_system=trigonal energy_ev_per_cell=-22.530 magnetic_moment_mub_per_atom=0.00 pbc="T T T"
Ta 0.000 0.000 0.000
Te 1.795 1.036 2.047
Rh 0.000 2.073 4.275



5
Lattice="4.269 0.000 0.000 0.000 4.269 0.000 0.000 0.000 6.539" Properties=species:S:1:pos:R:3 comment="GGA-PBE ReTePbN2, optimized geometry" de_polymorph_mev_per_atom=1751 crystal_system=tetragonal energy_ev_per_cell=-23.903 magnetic_moment_mub_per_atom=1.32 pbc="T T T"
Re 0.000 0.000 0.000
Te 2.135 2.135 0.000
Pb 2.135 2.135 3.270
N 0.000 2.135 3.270
N 2.135 0.000 3.270



5
Lattice="4.710 0.000 0.000 0.000 4.710 0.000 0.000 0.000 4.720" Properties=species:S:1:pos:R:3 comment="GGA-PBE BeAlIrS2, optimized geometry" crystal_system=tetragonal energy_ev_per_cell=-20.505 magnetic_moment_mub_per_atom=0.00 pbc="T T T"
Be 0.000 0.000 0.000
Al 2.355 2.355 0.000
Ir 2.355 2.355 2.360
S 0.000 2.355 2.360
S 2.355 0.000 2.360



4
Lattice="-1.380 2.116 4.533 1.380 -2.116 4.533 1.380 2.116 -4.533" Properties=species:S:1:pos:R:3 comment="GGA-PBE BeOs2Pt, optimized geometry" e_form_mev_per_atom=-18 crystal_system=orthorhombic energy_ev_per_cell=-32.299 magnetic_moment_mub_per_atom=0.00 pbc="T T T"
Be 0.000 0.000 0.000
Os 1.380 0.000 1.906
Os 0.000 2.116 2.627
Pt 0.000 0.000 4.533



5
Lattice="4.124 0.000 0.000 0.000 4.124 0.000 0.000 0.000 4.239" Properties=species:S:1:pos:R:3 comment="GGA-PBE RbMgOF2, optimized geometry" de_polymorph_mev_per_atom=0 crystal_system=tetragonal energy_ev_per_cell=-23.422 magnetic_moment_mub_per_atom=0.20 pbc="T T T"
Rb 0.000 0.000 0.000
Mg 2.062 2.062 2.120
O 2.062 2.062 0.000
F 0.000 2.062 2.120
F 2.062 0.000 2.120



4
Lattice="1.688 0.975 6.387 -1.688 0.975 6.387 0.000 -1.949 6.387" Properties=species:S:1:pos:R:3 comment="GGA-PBE Hf2CO, optimized geometry" de_polymorph_mev_per_atom=0 crystal_system=trigonal energy_ev_per_cell=-40.013 magnetic_moment_mub_per_atom=0.00 pbc="T T T"
Hf 0.000 0.000 1.955
Hf 0.000 0.000 17.205
C 0.000 0.000 9.580
O 0.000 0.000 0.000



4
Lattice="0.000 3.933 3.933 3.933 0.000 3.933 3.933 3.933 0.000" Properties=species:S:1:pos:R:3 comment="GGA-PBE LaAuI2, optimized geometry" de_polymorph_mev_per_atom=0 crystal_system=cubic energy_ev_per_cell=-14.462 magnetic_moment_mub_per_atom=0.00 pbc="T T T"
La 0.000 0.000 0.000
Au 3.933 3.933 3.933
I 1.967 1.967 1.967
I 5.900 5.900 5.900